Record 1
An optimized crystal structure of TaGa2SbIr, computed with GGA-PBE.

POSCAR file:
```
TaGa2SbIr
1.0
5.0307 0.0000 0.0000
0.0000 5.0307 0.0000
0.0000 0.0000 4.8789
Ta Ga Sb Ir
1 2 1 1
Direct
0.0000 0.0000 0.0000 Ta
0.0000 0.5000 0.5000 Ga
0.5000 0.0000 0.5000 Ga
0.5000 0.5000 0.5000 Sb
0.5000 0.5000 0.0000 Ir
```

## Properties
uncorrected formation energy: 1.565 eV/atom
DOS(E_F): 1.28 states/eV/atom

Record 2
An optimized crystal structure of Sc3Ga2Ir, computed with GGA-PBE.

POSCAR file:
```
Sc3Ga2Ir
1.0
3.3318 0.0000 0.0000
0.0000 3.3318 0.0000
0.0000 0.0000 9.8723
Sc Ga Ir
3 2 1
Direct
0.0000 0.0000 0.0000 Sc
0.0000 0.0000 0.3452 Sc
0.0000 0.0000 0.6548 Sc
0.5000 0.5000 0.1725 Ga
0.5000 0.5000 0.8275 Ga
0.5000 0.5000 0.5000 Ir
```

## Properties
ΔH_f (0 K): -0.75 eV/atom
DOS(E_F): 0.39 states/eV/atom

Record 3
An optimized crystal structure of Sc2GaIr, computed with GGA-PBE.

POSCAR file:
```
Sc2GaIr
1.0
3.3097 0.0000 0.0000
0.0000 3.3097 0.0000
0.0000 0.0000 6.5637
Sc Ga Ir
2 1 1
Direct
0.0000 0.0000 0.2362 Sc
0.0000 0.0000 0.7638 Sc
0.5000 0.5000 0.5000 Ga
0.5000 0.5000 0.0000 Ir
```

## Properties
ΔH_f (0 K): -0.82 eV/atom
DOS(E_F): 0.66 states/eV/atom

Record 4
An optimized crystal structure of ScGa2Ir, computed with GGA-PBE.

POSCAR file:
```
ScGa2Ir
1.0
7.8158 0.0000 0.0000
0.0000 6.8451 0.0000
0.0000 0.0000 5.2386
Sc Ga Ir
4 8 4
Direct
0.0462 0.2500 0.1149 Sc
0.4538 0.7500 0.6149 Sc
0.5462 0.2500 0.3851 Sc
0.9538 0.7500 0.8851 Sc
0.1760 0.0482 0.6246 Ga
0.1760 0.4518 0.6246 Ga
0.3240 0.5482 0.1246 Ga
0.3240 0.9518 0.1246 Ga
0.6760 0.0482 0.8754 Ga
0.6760 0.4518 0.8754 Ga
0.8240 0.5482 0.3754 Ga
0.8240 0.9518 0.3754 Ga
0.1029 0.7500 0.3654 Ir
0.3971 0.2500 0.8654 Ir
0.6029 0.7500 0.1346 Ir
0.8971 0.2500 0.6346 Ir
```

## Properties
ΔH_f (0 K): -0.67 eV/atom
DOS(E_F): 0.81 states/eV/atom

Record 5
An optimized crystal structure of Sc2Ga2Ir, computed with GGA-PBE.

POSCAR file:
```
Sc2Ga2Ir
1.0
-2.1169 2.5773 4.1690
2.1169 -2.5773 4.1690
2.1169 2.5773 -4.1690
Sc Ga Ir
2 2 1
Direct
0.1976 0.1976 0.0000 Sc
0.8024 0.8024 0.0000 Sc
0.2384 0.5000 0.7384 Ga
0.7616 0.5000 0.2616 Ga
0.5000 0.0000 0.5000 Ir
```

## Properties
ΔH_f (0 K): -0.71 eV/atom
DOS(E_F): 0.59 states/eV/atom
ΔE to the lowest computed polymorph: 1.5 kJ/mol of atoms

Record 6
An optimized crystal structure of Sc2Ga5Ir, computed with GGA-PBE.

POSCAR file:
```
Sc2Ga5Ir
1.0
-2.8568 2.8568 4.0842
2.8568 -2.8568 4.0842
2.8568 2.8568 -4.0842
Sc Ga Ir
2 5 1
Direct
0.0000 0.5000 0.5000 Sc
0.5000 0.0000 0.5000 Sc
0.0000 0.0000 0.0000 Ga
0.0000 0.0000 0.5000 Ga
0.0000 0.5000 0.0000 Ga
0.5000 0.0000 0.0000 Ga
0.5000 0.5000 0.5000 Ga
0.5000 0.5000 0.0000 Ir
```

## Properties
ΔH_f (0 K): -0.54 eV/atom
DOS(E_F): 0.42 states/eV/atom

Record 7
An optimized crystal structure of Sc2GaIr, computed with GGA-PBE.

POSCAR file:
```
Sc2GaIr
1.0
-3.7216 3.7216 2.9007
3.7216 -3.7216 2.9007
3.7216 3.7216 -2.9007
Sc Ga Ir
4 2 2
Direct
0.0875 0.6250 0.9625 Sc
0.3750 0.3375 0.4625 Sc
0.6625 0.1250 0.0375 Sc
0.8750 0.9125 0.5375 Sc
0.2500 0.7500 0.5000 Ga
0.5000 0.5000 0.0000 Ga
0.0000 0.0000 0.0000 Ir
0.7500 0.2500 0.5000 Ir
```

## Properties
ΔH_f (0 K): -0.28 eV/atom
DOS(E_F): 0.49 states/eV/atom

Record 8
An optimized crystal structure of Sc2GaIr, computed with GGA-PBE.

POSCAR file:
```
Sc2GaIr
1.0
1.8003 1.0394 8.9118
-1.8003 1.0394 8.9118
0.0000 -2.0788 8.9118
Sc Ga Ir
2 1 1
Direct
0.1086 0.1086 0.1086 Sc
0.8914 0.8914 0.8914 Sc
0.0000 0.0000 0.0000 Ga
0.5000 0.5000 0.5000 Ir
```

## Properties
ΔH_f (0 K): -0.20 eV/atom
DOS(E_F): 0.31 states/eV/atom

Record 9
An optimized crystal structure of Sc3Ga4Ir2, computed with GGA-PBE.

POSCAR file:
```
Sc3Ga4Ir2
1.0
4.9769 -2.2170 0.0000
4.9769 2.2170 0.0000
-3.9882 0.0000 7.0707
Sc Ga Ir
3 4 2
Direct
0.0000 0.0000 0.0000 Sc
0.3326 0.3326 0.3379 Sc
0.6674 0.6674 0.6621 Sc
0.0787 0.0787 0.4081 Ga
0.3115 0.3115 0.9753 Ga
0.6885 0.6885 0.0247 Ga
0.9213 0.9213 0.5919 Ga
0.3933 0.3933 0.7254 Ir
0.6067 0.6067 0.2746 Ir
```

## Properties
ΔH_f (0 K): -0.79 eV/atom
DOS(E_F): 0.54 states/eV/atom
ΔE to the lowest computed polymorph: 0.0 kJ/mol of atoms

Record 10
An optimized crystal structure of Sc2GaIr2, computed with GGA-PBE.

POSCAR file:
```
Sc2GaIr2
1.0
7.4549 0.0000 0.0000
0.0000 7.4549 0.0000
0.0000 0.0000 3.2228
Sc Ga Ir
4 2 4
Direct
0.1583 0.3417 0.0000 Sc
0.3417 0.8417 0.0000 Sc
0.6583 0.1583 0.0000 Sc
0.8417 0.6583 0.0000 Sc
0.0000 0.0000 0.5000 Ga
0.5000 0.5000 0.5000 Ga
0.1422 0.6422 0.5000 Ir
0.3578 0.1422 0.5000 Ir
0.6422 0.8578 0.5000 Ir
0.8578 0.3578 0.5000 Ir
```

## Properties
ΔH_f (0 K): -0.69 eV/atom
DOS(E_F): 0.82 states/eV/atom

Record 11
An optimized crystal structure of Sc2Ga2Ir, computed with GGA-PBE.

POSCAR file:
```
Sc2Ga2Ir
1.0
6.7152 0.0000 0.0000
0.0000 6.7152 0.0000
0.0000 0.0000 3.9155
Sc Ga Ir
4 4 2
Direct
0.1745 0.3255 0.0000 Sc
0.3255 0.8255 0.0000 Sc
0.6745 0.1745 0.0000 Sc
0.8255 0.6745 0.0000 Sc
0.1316 0.6316 0.5000 Ga
0.3684 0.1316 0.5000 Ga
0.6316 0.8684 0.5000 Ga
0.8684 0.3684 0.5000 Ga
0.0000 0.0000 0.5000 Ir
0.5000 0.5000 0.5000 Ir
```

## Properties
ΔH_f (0 K): -0.72 eV/atom
DOS(E_F): 0.53 states/eV/atom
ΔE to the lowest computed polymorph: 0.3 kJ/mol of atoms

Record 12
An optimized crystal structure of Sc11Ga9Ir4, computed with GGA-PBE.

POSCAR file:
```
Sc11Ga9Ir4
1.0
6.6542 -9.9883 0.0000
6.6542 9.9883 0.0000
0.0000 0.0000 3.3802
Sc Ga Ir
11 9 4
Direct
0.0000 0.0000 0.0000 Sc
0.0654 0.4106 0.0000 Sc
0.1648 0.8352 0.0000 Sc
0.3042 0.3042 0.0000 Sc
0.3716 0.6284 0.0000 Sc
0.4106 0.0654 0.0000 Sc
0.5894 0.9346 0.0000 Sc
0.6284 0.3716 0.0000 Sc
0.6958 0.6958 0.0000 Sc
0.8352 0.1648 0.0000 Sc
0.9346 0.5894 0.0000 Sc
0.0698 0.2137 0.5000 Ga
0.1591 0.6306 0.5000 Ga
0.2137 0.0698 0.5000 Ga
0.3694 0.8409 0.5000 Ga
0.5000 0.5000 0.5000 Ga
0.6306 0.1591 0.5000 Ga
0.7863 0.9302 0.5000 Ga
0.8409 0.3694 0.5000 Ga
0.9302 0.7863 0.5000 Ga
0.2415 0.4459 0.5000 Ir
0.4459 0.2415 0.5000 Ir
0.5541 0.7585 0.5000 Ir
0.7585 0.5541 0.5000 Ir
```

## Properties
ΔH_f (0 K): -0.74 eV/atom
DOS(E_F): 0.54 states/eV/atom

Record 13
An optimized crystal structure of Sc5GaIr6, computed with GGA-PBE.

POSCAR file:
```
Sc5GaIr6
1.0
-2.2661 3.1817 6.8091
2.2661 -3.1817 6.8091
2.2661 3.1817 -6.8091
Sc Ga Ir
5 1 6
Direct
0.0000 0.0000 0.0000 Sc
0.1674 0.6674 0.5000 Sc
0.3368 0.3368 0.0000 Sc
0.6632 0.6632 0.0000 Sc
0.8326 0.3326 0.5000 Sc
0.5000 0.0000 0.5000 Ga
0.0860 0.8346 0.2514 Ir
0.2514 0.5000 0.7514 Ir
0.4168 0.1654 0.2514 Ir
0.5832 0.8346 0.7486 Ir
0.7486 0.5000 0.2486 Ir
0.9140 0.1654 0.7486 Ir
```

## Properties
ΔH_f (0 K): -0.93 eV/atom
DOS(E_F): 0.20 states/eV/atom

Record 14
An optimized crystal structure of ScGa2Ir, computed with GGA-PBE.

POSCAR file:
```
ScGa2Ir
1.0
3.9374 0.0000 0.0000
0.0000 3.9374 0.0000
0.0000 0.0000 4.2128
Sc Ga Ir
1 2 1
Direct
0.0000 0.0000 0.0000 Sc
0.0000 0.5000 0.5000 Ga
0.5000 0.0000 0.5000 Ga
0.5000 0.5000 0.0000 Ir
```

## Properties
ΔH_f (0 K): -0.55 eV/atom
DOS(E_F): 0.49 states/eV/atom

Record 15
An optimized crystal structure of ScGaIr3, computed with GGA-PBE.

POSCAR file:
```
ScGaIr3
1.0
4.6956 0.0000 0.0000
0.0000 4.6956 0.0000
0.0000 0.0000 4.6956
Sc Ga Ir
1 1 3
Direct
0.0000 0.0000 0.0000 Sc
0.5000 0.5000 0.5000 Ga
0.0000 0.0000 0.5000 Ir
0.0000 0.5000 0.0000 Ir
0.5000 0.0000 0.0000 Ir
```

## Properties
ΔH_f (0 K): 1.39 eV/atom
DOS(E_F): 1.16 states/eV/atom
ΔE to the lowest computed polymorph: 94.2 kJ/mol of atoms

Record 16
An optimized crystal structure of Sc3GaIr2, computed with GGA-PBE.

POSCAR file:
```
Sc3GaIr2
1.0
3.2623 0.0000 0.0000
0.0000 3.2623 0.0000
0.0000 0.0000 9.9273
Sc Ga Ir
3 1 2
Direct
0.0000 0.0000 0.0000 Sc
0.0000 0.0000 0.3216 Sc
0.0000 0.0000 0.6784 Sc
0.5000 0.5000 0.5000 Ga
0.5000 0.5000 0.1658 Ir
0.5000 0.5000 0.8342 Ir
```

## Properties
ΔH_f (0 K): -0.89 eV/atom
DOS(E_F): 0.57 states/eV/atom

Record 17
An optimized crystal structure of Sc5Ga5Ir2, computed with GGA-PBE.

POSCAR file:
```
Sc5Ga5Ir2
1.0
-2.2146 4.3824 5.6801
2.2146 -4.3824 5.6801
2.2146 4.3824 -5.6801
Sc Ga Ir
5 5 2
Direct
0.0000 0.0000 0.0000 Sc
0.1635 0.8519 0.3116 Sc
0.4597 0.1481 0.3116 Sc
0.5403 0.8519 0.6884 Sc
0.8365 0.1481 0.6884 Sc
0.2107 0.5000 0.7107 Ga
0.2614 0.2614 0.0000 Ga
0.5000 0.5000 0.0000 Ga
0.7386 0.7386 0.0000 Ga
0.7893 0.5000 0.2893 Ga
0.1566 0.6566 0.5000 Ir
0.8434 0.3434 0.5000 Ir
```

## Properties
ΔH_f (0 K): -0.74 eV/atom
DOS(E_F): 0.70 states/eV/atom

Record 18
An optimized crystal structure of Sc6Ga16Ir7, computed with GGA-PBE.

POSCAR file:
```
Sc6Ga16Ir7
1.0
0.0000 6.2303 6.2303
6.2303 0.0000 6.2303
6.2303 6.2303 0.0000
Sc Ga Ir
6 16 7
Direct
0.2198 0.2198 0.7802 Sc
0.2198 0.7802 0.2198 Sc
0.2198 0.7802 0.7802 Sc
0.7802 0.2198 0.2198 Sc
0.7802 0.2198 0.7802 Sc
0.7802 0.7802 0.2198 Sc
0.1285 0.6238 0.6238 Ga
0.1541 0.1541 0.1541 Ga
0.1541 0.1541 0.5378 Ga
0.1541 0.5378 0.1541 Ga
0.3762 0.3762 0.3762 Ga
0.3762 0.3762 0.8715 Ga
0.3762 0.8715 0.3762 Ga
0.4622 0.8459 0.8459 Ga
0.5378 0.1541 0.1541 Ga
0.6238 0.1285 0.6238 Ga
0.6238 0.6238 0.1285 Ga
0.6238 0.6238 0.6238 Ga
0.8459 0.4622 0.8459 Ga
0.8459 0.8459 0.4622 Ga
0.8459 0.8459 0.8459 Ga
0.8715 0.3762 0.3762 Ga
0.0000 0.0000 0.5000 Ir
0.0000 0.5000 0.0000 Ir
0.0000 0.5000 0.5000 Ir
0.5000 0.0000 0.0000 Ir
0.5000 0.0000 0.5000 Ir
0.5000 0.5000 0.0000 Ir
0.5000 0.5000 0.5000 Ir
```

## Properties
ΔH_f (0 K): -0.64 eV/atom
DOS(E_F): 0.52 states/eV/atom

Record 19
An optimized crystal structure of ScGa2Ir, computed with GGA-PBE.

POSCAR file:
```
ScGa2Ir
1.0
6.3248 -1.8368 0.0000
6.3248 1.8368 0.0000
-1.0556 0.0000 3.5183
Sc Ga Ir
1 2 1
Direct
0.0000 0.0000 0.0000 Sc
0.2963 0.2963 0.2947 Ga
0.7037 0.7037 0.7053 Ga
0.5000 0.5000 0.5000 Ir
```

## Properties
ΔH_f (0 K): -0.32 eV/atom
DOS(E_F): 0.42 states/eV/atom

Record 20
An optimized crystal structure of Sc4GaIr, computed with GGA-PBE.

POSCAR file:
```
Sc4GaIr
1.0
-3.2710 3.2710 6.3749
3.2710 -3.2710 6.3749
3.2710 3.2710 -6.3749
Sc Ga Ir
8 2 2
Direct
0.0000 0.2374 0.2374 Sc
0.0000 0.7626 0.7626 Sc
0.2374 0.0000 0.7374 Sc
0.2374 0.5000 0.2374 Sc
0.5000 0.2374 0.7374 Sc
0.5000 0.7626 0.2626 Sc
0.7626 0.0000 0.2626 Sc
0.7626 0.5000 0.7626 Sc
0.3750 0.6250 0.7500 Ga
0.6250 0.3750 0.2500 Ga
0.1250 0.8750 0.2500 Ir
0.8750 0.1250 0.7500 Ir
```

## Properties
ΔH_f (0 K): -0.48 eV/atom
DOS(E_F): 1.01 states/eV/atom

Record 21
An optimized crystal structure of Sc5Ga2Ir, computed with GGA-PBE.

POSCAR file:
```
Sc5Ga2Ir
1.0
-3.4640 3.4640 6.7752
3.4640 -3.4640 6.7752
3.4640 3.4640 -6.7752
Sc Ga Ir
10 4 2
Direct
0.0000 0.0000 0.0000 Sc
0.0244 0.5244 0.8496 Sc
0.1748 0.0244 0.5000 Sc
0.3252 0.8252 0.8496 Sc
0.4756 0.3252 0.5000 Sc
0.5000 0.5000 0.0000 Sc
0.5244 0.6748 0.5000 Sc
0.6748 0.1748 0.1504 Sc
0.8252 0.9756 0.5000 Sc
0.9756 0.4756 0.1504 Sc
0.1257 0.3743 0.5000 Ga
0.3743 0.8743 0.2486 Ga
0.6257 0.1257 0.7514 Ga
0.8743 0.6257 0.5000 Ga
0.2500 0.2500 0.0000 Ir
0.7500 0.7500 0.0000 Ir
```

## Properties
ΔH_f (0 K): -0.59 eV/atom
DOS(E_F): 1.03 states/eV/atom

Record 22
An optimized crystal structure of Sc2Ga5Ir3, computed with GGA-PBE.

POSCAR file:
```
Sc2Ga5Ir3
1.0
2.1076 -12.0678 0.0000
2.1076 12.0678 0.0000
0.0000 0.0000 6.6946
Sc Ga Ir
4 10 6
Direct
0.0228 0.9772 0.5000 Sc
0.3210 0.6790 0.3969 Sc
0.6790 0.3210 0.8969 Sc
0.9772 0.0228 0.0000 Sc
0.0989 0.9011 0.1252 Ga
0.2053 0.7947 0.5909 Ga
0.2080 0.7920 0.1814 Ga
0.3765 0.6235 0.9785 Ga
0.4467 0.5533 0.3331 Ga
0.5533 0.4467 0.8331 Ga
0.6235 0.3765 0.4785 Ga
0.7920 0.2080 0.6814 Ga
0.7947 0.2053 0.0909 Ga
0.9011 0.0989 0.6252 Ga
0.1098 0.8902 0.7451 Ir
0.2732 0.7268 0.8837 Ir
0.4541 0.5459 0.7184 Ir
0.5459 0.4541 0.2184 Ir
0.7268 0.2732 0.3837 Ir
0.8902 0.1098 0.2451 Ir
```

## Properties
ΔH_f (0 K): -0.66 eV/atom
DOS(E_F): 0.41 states/eV/atom